Density functional theory data (meta-GGA SCAN) for a PBEsol-optimized structure of CaFe2W.

a b c (Å): 2.986 2.986 6.842
angles (deg): 90.00 90.00 90.00
Fractional positions:
Ca (0.000, 0.000, 0.000)
Fe (0.500, 0.500, 0.306)
Fe (0.500, 0.500, 0.694)
W (0.000, 0.000, 0.500)

Values from the calculation:
- symmetry = No. 123
- DFT formation energy (eV per atom) = 0.460
- crystal system = tetragonal
- DOS at the Fermi energy (states/eV/atom) = 0.648
- theoretical density (g cm⁻³) = 9.137